AlFeI6: optimized geometry, PBE.

Values from the calculation:
* electronic total energy: -2.8896 eV per atom
* D(E_F): 7.2 states/eV/cell
* formation energy (no corrections): -155 kJ/mol of formula units

a b c (Å): 14.944 10.526 10.561
angles (deg): 90.00 134.90 90.00
Space group C2/m (No. 12)
Asymmetric unit:
Al  0.250  0.250  0.000 (multiplicity 4)
Fe  0.250  0.250  0.500 (multiplicity 4)
I  0.003  0.193  0.818 (multiplicity 8)
I  0.177  0.500  0.868 (multiplicity 4)
I  0.193  0.500  0.500 (multiplicity 4)
I  0.194  0.184  0.693 (multiplicity 8)

---

AlFe2I: optimized geometry, PBE.

Values from the calculation:
* E above lowest polymorph: 0.224 eV/atom
* electronic total energy: -4.6612 eV per atom
* D(E_F): 27.5 states/eV/cell
* formation energy (no corrections): 345 kJ/mol of formula units

a b c (Å): 4.100 4.100 15.807
angles (deg): 90.00 90.00 90.00
Space group I-42d (No. 122)
Asymmetric unit:
Al  0.000  0.000  0.000 (multiplicity 4)
Fe  0.228  0.250  0.125 (multiplicity 8)
I  0.000  0.000  0.500 (multiplicity 4)

---

AlFe2I: optimized geometry, PBE.

Values from the calculation:
* E above lowest polymorph: 0.000 eV/atom
* electronic total energy: -4.8850 eV per atom
* D(E_F): 13.2 states/eV/cell
* formation energy (no corrections): 258 kJ/mol of formula units

a b c (Å): 6.191 6.191 6.191
angles (deg): 90.00 90.00 90.00
Space group Fm-3m (No. 225)
Asymmetric unit:
Al  0.000  0.000  0.000 (multiplicity 4)
Fe  0.250  0.250  0.250 (multiplicity 8)
I  0.000  0.000  0.500 (multiplicity 4)

---

AlFeI2: optimized geometry, PBE.

Values from the calculation:
* E above lowest polymorph: 0.000 eV/atom
* electronic total energy: -3.2667 eV per atom
* D(E_F): 7.7 states/eV/cell
* formation energy (no corrections): 216 kJ/mol of formula units

a b c (Å): 7.428 7.428 7.428
angles (deg): 90.00 90.00 90.00
Space group Fm-3m (No. 225)
Asymmetric unit:
Al  0.000  0.000  0.000 (multiplicity 4)
Fe  0.000  0.000  0.500 (multiplicity 4)
I  0.250  0.250  0.250 (multiplicity 8)

---

AlFeI2: optimized geometry, PBE.

Values from the calculation:
* E above lowest polymorph: 0.048 eV/atom
* electronic total energy: -3.2187 eV per atom
* D(E_F): 23.3 states/eV/cell
* formation energy (no corrections): 235 kJ/mol of formula units

a b c (Å): 6.956 6.956 10.700
angles (deg): 90.00 90.00 90.00
Space group I-42d (No. 122)
Asymmetric unit:
Al  0.000  0.000  0.000 (multiplicity 4)
Fe  0.000  0.000  0.500 (multiplicity 4)
I  0.168  0.250  0.625 (multiplicity 8)

---

AlFeIrI2: optimized geometry, PBE.

Values from the calculation:
* electronic total energy: -3.8798 eV per atom
* D(E_F): 4.7 states/eV/cell
* formation energy (no corrections): 460 kJ/mol of formula units

a b c (Å): 5.207 5.207 4.538
angles (deg): 90.00 90.00 90.00
Space group P4/mmm (No. 123)
Asymmetric unit:
Al  0.000  0.000  0.000 (multiplicity 1)
Fe  0.500  0.500  0.500 (multiplicity 1)
Ir  0.500  0.500  0.000 (multiplicity 1)
I  0.000  0.500  0.500 (multiplicity 2)